(1)
# Ba4Sc PBE relaxed
# * polymorph energy (0 for the lowest one): 48.7 meV/atom
# * density of states at the Fermi level: 9.258 states/eV/cell
data_Ba4Sc
_cell_length_a 7.3619
_cell_length_b 7.3619
_cell_length_c 7.3619
_cell_angle_alpha 109.47
_cell_angle_beta 109.47
_cell_angle_gamma 109.47
_symmetry_space_group_name_H-M 'P 1'
_symmetry_Int_Tables_number 1
loop_
_symmetry_equiv_pos_as_xyz
'x,y,z'
loop_
_atom_site_label
_atom_site_type_symbol
_atom_site_fract_x
_atom_site_fract_y
_atom_site_fract_z
Ba1 Ba 0.0000 0.0000 0.5000
Ba2 Ba 0.5000 0.0000 0.0000
Ba3 Ba 0.5000 0.5000 0.5000
Sc1 Sc 0.0000 0.0000 0.0000
Ba4 Ba 0.0000 0.5000 0.0000

=====

(2)
# Ba4Sc PBE relaxed
# * polymorph energy (0 for the lowest one): 0.0 meV/atom
# * density of states at the Fermi level: 10.127 states/eV/cell
data_Ba4Sc
_cell_length_a 6.7104
_cell_length_b 6.7104
_cell_length_c 6.7104
_cell_angle_alpha 90.00
_cell_angle_beta 90.00
_cell_angle_gamma 90.00
_symmetry_space_group_name_H-M 'P 1'
_symmetry_Int_Tables_number 1
loop_
_symmetry_equiv_pos_as_xyz
'x,y,z'
loop_
_atom_site_label
_atom_site_type_symbol
_atom_site_fract_x
_atom_site_fract_y
_atom_site_fract_z
Ba1 Ba 0.0000 0.5000 0.5000
Ba2 Ba 0.5000 0.5000 0.0000
Ba3 Ba 0.5000 0.0000 0.5000
Ba4 Ba 0.0000 0.0000 0.0000
Sc1 Sc 0.5000 0.5000 0.5000

=====

no.,DFT formation energy (eV/atom),total DFT energy (no corrections) (eV per formula unit)
1,0.47,-11.65
2,0.43,-11.90